# PBE-GGA CrAsBr2, relaxed
data_CrAsBr2
_cell_length_a 3.420
_cell_length_b 5.118
_cell_length_c 14.026
_cell_angle_alpha 90.00
_cell_angle_beta 90.00
_cell_angle_gamma 90.00
_space_group_name_H-M_alt 'I m m 2'
_space_group_IT_number 44
_space_group_name_Hall 'I 2 -2'
loop_
_atom_site_label
_atom_site_type_symbol
_atom_site_fract_x
_atom_site_fract_y
_atom_site_fract_z
Cr1 Cr 0.000 0.000 0.000
As1 As 0.000 0.500 0.640
Br1 Br 0.000 0.000 0.581
Br2 Br 0.000 0.500 0.370
# volume: 30.7 Å³ per atom
# magnetic moment: 0.91 μB per atom
# ΔE_f (raw): -0.068 eV/atom

---

# PBE-GGA AgPd8Pt2, relaxed
data_AgPd8Pt2
_cell_length_a 14.274
_cell_length_b 3.976
_cell_length_c 6.276
_cell_angle_alpha 90.00
_cell_angle_beta 105.53
_cell_angle_gamma 90.00
_space_group_name_H-M_alt 'C 1 2/m 1'
_space_group_IT_number 12
_space_group_name_Hall '-C 2y'
loop_
_atom_site_label
_atom_site_type_symbol
_atom_site_fract_x
_atom_site_fract_y
_atom_site_fract_z
Ag1 Ag 0.000 0.000 0.000
Pd1 Pd 0.046 0.500 0.725
Pd2 Pd 0.092 0.000 0.456
Pd3 Pd 0.138 0.500 0.184
Pd4 Pd 0.183 0.000 0.910
Pt1 Pt 0.226 0.500 0.634
# volume: 15.6 Å³ per atom
# magnetic moment: 0.00 μB per atom
# electronic total energy: -5.142 eV per atom

---

# PBE-GGA V2CdBRh, relaxed
data_V2CdBRh
_cell_length_a 4.083
_cell_length_b 4.083
_cell_length_c 4.283
_cell_angle_alpha 90.00
_cell_angle_beta 90.00
_cell_angle_gamma 90.00
_space_group_name_H-M_alt 'P 4/m m m'
_space_group_IT_number 123
_space_group_name_Hall '-P 4 2'
loop_
_atom_site_label
_atom_site_type_symbol
_atom_site_fract_x
_atom_site_fract_y
_atom_site_fract_z
V1 V 0.000 0.500 0.000
Cd1 Cd 0.000 0.000 0.500
B1 B 0.000 0.000 0.000
Rh1 Rh 0.500 0.500 0.500
# volume: 14.3 Å³ per atom
# magnetic moment: 0.00 μB per atom
# electronic total energy: -6.302 eV per atom

---

# PBE-GGA CaCeTeP, relaxed
data_CaCeTeP
_cell_length_a 4.2953
_cell_length_b 4.2953
_cell_length_c 21.5554
_cell_angle_alpha 90.00
_cell_angle_beta 90.00
_cell_angle_gamma 120.00
_space_group_name_H-M_alt 'R 3 m'
_space_group_IT_number 160
_space_group_name_Hall 'R 3 -2"'
loop_
_atom_site_label
_atom_site_type_symbol
_atom_site_fract_x
_atom_site_fract_y
_atom_site_fract_z
Ca1 Ca 0.0000 0.0000 0.0000
Ce1 Ce 0.0000 0.0000 0.5220
Te1 Te 0.0000 0.0000 0.7602
P1 P 0.0000 0.0000 0.2570
# volume: 28.7 Å³ per atom
# magnetic moment: 0.24 μB per atom
# ΔE_f (raw): -1.444 eV/atom

---

What is the formula in the first record? CrAsBr2